Entry 1:
Below is a relaxed SnRh3 crystal, with properties calculated at the GGA-PBEsol level.

## Properties
Space group = No. 139
V = 14.83 A^3/atom
Raw total energy = -7.4241 eV/atom
ΔE_f = -0.255 eV/atom
Crystal system = tetragonal

The structure in POSCAR format:
```
SnRh3
1.0
3.963 0.000 0.000
0.000 3.963 0.000
-1.981 -1.981 3.778
Rh Sn
3 1
direct
0.250 0.750 0.500
0.750 0.250 0.500
0.500 0.500 0.000
0.000 0.000 0.000
```

---

Entry 2:
Below is a relaxed SnRh3 crystal, with properties calculated at the GGA-PBEsol level.

## Properties
Space group = No. 194
V = 14.85 A^3/atom
Raw total energy = -7.4308 eV/atom
ΔE_f = -0.262 eV/atom
Crystal system = hexagonal

The structure in POSCAR format:
```
SnRh3
1.0
4.437 0.000 0.000
0.000 5.560 0.000
0.000 -2.780 4.815
Rh Sn
6 2
direct
0.250 0.325 0.163
0.250 0.837 0.163
0.250 0.837 0.675
0.750 0.675 0.837
0.750 0.163 0.837
0.750 0.163 0.325
0.750 0.667 0.333
0.250 0.333 0.667
```

---

Entry 3:
Below is a relaxed SnRh crystal, with properties calculated at the GGA-PBEsol level.

## Properties
Space group = No. 198
V = 16.81 A^3/atom
Raw total energy = -6.6860 eV/atom
ΔE_f = -0.487 eV/atom
Crystal system = cubic

The structure in POSCAR format:
```
SnRh
1.0
5.123 0.000 0.000
0.000 5.123 0.000
0.000 0.000 5.123
Sn Rh
4 4
direct
0.841 0.841 0.841
0.659 0.159 0.341
0.341 0.659 0.159
0.159 0.341 0.659
0.146 0.146 0.146
0.354 0.854 0.646
0.646 0.354 0.854
0.854 0.646 0.354
```

---

Entry 4:
Below is a relaxed Sr3SnRh crystal, with properties calculated at the GGA-PBEsol level.

## Properties
Space group = No. 221
V = 34.93 A^3/atom
Raw total energy = -3.7660 eV/atom
ΔE_f = -0.182 eV/atom
Crystal system = cubic

The structure in POSCAR format:
```
Sr3SnRh
1.0
5.590 0.000 0.000
0.000 5.590 0.000
0.000 0.000 5.590
Sr Rh Sn
3 1 1
direct
0.000 0.500 0.000
0.000 0.000 0.500
0.500 0.000 0.000
0.000 0.000 0.000
0.500 0.500 0.500
```

---

Entry 5:
Below is a relaxed Tb5Sn18Rh6 crystal, with properties calculated at the GGA-PBEsol level.

## Properties
Space group = No. 216
V = 22.59 A^3/atom
Raw total energy = -5.7742 eV/atom
ΔE_f = -0.583 eV/atom
Crystal system = cubic

The structure in POSCAR format:
```
Tb5Sn18Rh6
1.0
-6.067 1.686 7.442
-6.528 -6.759 2.594
1.089 -4.868 8.376
Tb Sn Rh
5 18 6
direct
0.608 0.131 0.131
0.131 0.131 0.131
0.131 0.608 0.131
0.131 0.131 0.608
0.500 0.500 0.500
0.262 0.913 0.913
0.913 0.913 0.913
0.913 0.262 0.913
0.913 0.913 0.262
0.750 0.750 0.750
0.840 0.510 0.510
0.840 0.510 0.140
0.840 0.140 0.510
0.140 0.510 0.510
0.510 0.140 0.510
0.510 0.510 0.140
0.510 0.840 0.140
0.510 0.840 0.510
0.140 0.840 0.510
0.510 0.140 0.840
0.140 0.510 0.840
0.510 0.510 0.840
0.250 0.250 0.250
0.755 0.245 0.755
0.755 0.755 0.245
0.755 0.245 0.245
0.245 0.755 0.245
0.245 0.245 0.755
0.245 0.755 0.755
```

---

Entry 6:
Below is a relaxed Th3Sn13Rh4 crystal, with properties calculated at the GGA-PBEsol level.

## Properties
Space group = No. 223
V = 22.46 A^3/atom
Raw total energy = -6.1727 eV/atom
ΔE_f = -0.560 eV/atom
Crystal system = cubic

The structure in POSCAR format:
```
Th3Sn13Rh4
1.0
-1.579 -0.233 9.517
-9.155 -2.606 -1.583
2.609 -9.288 0.206
Th Sn Rh
6 26 8
direct
0.500 0.000 0.750
0.000 0.250 0.500
0.750 0.500 0.000
0.500 0.000 0.250
0.000 0.750 0.500
0.250 0.500 0.000
0.500 0.500 0.500
0.000 0.000 0.000
0.652 0.193 0.500
0.807 0.500 0.652
0.500 0.348 0.807
0.348 0.807 0.500
0.193 0.500 0.348
0.500 0.652 0.193
0.652 0.807 0.500
0.807 0.500 0.348
0.348 0.193 0.500
0.193 0.500 0.652
0.500 0.652 0.807
0.500 0.348 0.193
0.152 0.000 0.693
0.307 0.152 0.000
0.000 0.307 0.848
0.848 0.000 0.307
0.693 0.848 0.000
0.000 0.693 0.152
0.152 0.000 0.307
0.307 0.848 0.000
0.848 0.000 0.693
0.693 0.152 0.000
0.000 0.307 0.152
0.000 0.693 0.848
0.750 0.250 0.750
0.250 0.750 0.250
0.750 0.750 0.250
0.250 0.250 0.750
0.250 0.750 0.750
0.750 0.250 0.250
0.250 0.250 0.250
0.750 0.750 0.750
```

---

Entry 7:
Below is a relaxed ThSnRh crystal, with properties calculated at the GGA-PBEsol level.

## Properties
Space group = No. 189
V = 21.88 A^3/atom
Raw total energy = -7.7707 eV/atom
ΔE_f = -0.936 eV/atom
Crystal system = hexagonal

The structure in POSCAR format:
```
ThSnRh
1.0
-2.389 2.957 1.488
-3.515 0.466 -6.567
-2.509 -4.671 5.253
Rh Sn Th
3 3 3
direct
0.500 0.333 0.667
0.500 0.667 0.333
0.000 0.000 0.000
0.500 0.000 0.750
0.500 0.250 0.250
0.500 0.750 0.000
0.000 0.587 0.587
0.000 0.000 0.413
0.000 0.413 0.000
```

---

Entry 8:
Below is a relaxed TiSnRh crystal, with properties calculated at the GGA-PBEsol level.

## Properties
Space group = No. 216
V = 18.86 A^3/atom
Raw total energy = -7.4610 eV/atom
ΔE_f = -0.554 eV/atom
Crystal system = cubic

The structure in POSCAR format:
```
TiSnRh
1.0
-0.706 4.241 0.290
-3.902 1.465 1.095
-0.613 1.823 3.856
Rh Sn Ti
1 1 1
direct
0.750 0.750 0.750
0.500 0.500 0.500
0.000 0.000 0.000
```

---

Entry 9:
Below is a relaxed TlSnRh3 crystal, with properties calculated at the GGA-PBEsol level.

## Properties
Space group = No. 221
V = 22.75 A^3/atom
Raw total energy = -4.8524 eV/atom
ΔE_f = 1.409 eV/atom
Crystal system = cubic

The structure in POSCAR format:
```
TlSnRh3
1.0
-3.162 2.510 -2.679
-3.661 -1.894 2.546
0.272 3.686 3.133
Tl Rh Sn
1 3 1
direct
0.000 0.000 0.000
0.000 0.500 0.000
0.000 0.000 0.500
0.500 0.000 0.000
0.500 0.500 0.500
```

---

Entry 10:
Below is a relaxed TlSn2Rh2 crystal, with properties calculated at the GGA-PBEsol level.

## Properties
Space group = No. 139
V = 20.69 A^3/atom
Raw total energy = -5.5246 eV/atom
ΔE_f = -0.039 eV/atom
Crystal system = tetragonal

The structure in POSCAR format:
```
TlSn2Rh2
1.0
4.228 0.000 0.000
0.000 4.228 0.000
-2.114 -2.114 5.787
Tl Rh Sn
1 2 2
direct
0.000 0.000 0.000
0.387 0.387 0.773
0.613 0.613 0.227
0.250 0.750 0.500
0.750 0.250 0.500
```

---

Entry 11:
Below is a relaxed ZnSnRh3 crystal, with properties calculated at the GGA-PBEsol level.

## Properties
Space group = No. 221
V = 21.34 A^3/atom
Raw total energy = -4.8296 eV/atom
ΔE_f = 1.222 eV/atom
Crystal system = cubic

The structure in POSCAR format:
```
ZnSnRh3
1.0
4.743 0.000 0.000
0.000 4.743 0.000
0.000 0.000 4.743
Zn Rh Sn
1 3 1
direct
0.500 0.500 0.500
0.000 0.500 0.000
0.000 0.000 0.500
0.500 0.000 0.000
0.000 0.000 0.000
```

---

Entry 12:
Below is a relaxed ZnSn2Rh2 crystal, with properties calculated at the GGA-PBEsol level.

## Properties
Space group = No. 127
V = 17.06 A^3/atom
Raw total energy = -5.6356 eV/atom
ΔE_f = -0.360 eV/atom
Crystal system = tetragonal

The structure in POSCAR format:
```
ZnSn2Rh2
1.0
-0.251 -3.500 0.296
2.566 0.361 6.458
-6.449 0.676 2.525
Zn Rh Sn
2 4 4
direct
0.000 0.000 0.000
0.000 0.500 0.500
0.000 0.352 0.852
0.000 0.852 0.648
0.000 0.648 0.148
0.000 0.148 0.352
0.500 0.154 0.654
0.500 0.654 0.846
0.500 0.846 0.346
0.500 0.346 0.154
```

---

Entry 13:
Below is a relaxed ZnSn2Rh2 crystal, with properties calculated at the GGA-PBEsol level.

## Properties
Space group = No. 139
V = 19.28 A^3/atom
Raw total energy = -5.1966 eV/atom
ΔE_f = 0.079 eV/atom
Crystal system = tetragonal

The structure in POSCAR format:
```
ZnSn2Rh2
1.0
4.067 0.000 0.000
0.000 4.067 0.000
-2.033 -2.033 5.828
Zn Rh Sn
1 2 2
direct
0.000 0.000 0.000
0.392 0.392 0.785
0.608 0.608 0.215
0.250 0.750 0.500
0.750 0.250 0.500
```

---

Entry 14:
Below is a relaxed ZrSn2Rh crystal, with properties calculated at the GGA-PBEsol level.

## Properties
Space group = No. 225
V = 19.16 A^3/atom
Raw total energy = -6.7072 eV/atom
ΔE_f = -0.270 eV/atom
Crystal system = cubic

The structure in POSCAR format:
```
ZrSn2Rh
1.0
4.768 0.000 0.000
2.384 4.129 0.000
2.384 1.376 3.893
Rh Sn Zr
1 2 1
direct
0.500 0.500 0.500
0.250 0.250 0.250
0.750 0.750 0.750
0.000 0.000 0.000
```

---

Entry 15:
Below is a relaxed Sr5Rh crystal, with properties calculated at the GGA-PBEsol level.

## Properties
Space group = No. 12
V = 40.73 A^3/atom
Raw total energy = -2.9035 eV/atom
ΔE_f = -0.013 eV/atom
Crystal system = monoclinic

The structure in POSCAR format:
```
Sr5Rh
1.0
-1.043 -2.961 -2.317
4.726 -5.204 1.238
-3.643 -6.353 6.473
Sr Rh
5 1
direct
0.332 0.063 0.272
0.668 0.937 0.728
0.614 0.661 0.112
0.000 0.500 0.500
0.386 0.339 0.888
0.000 0.000 0.000
```

---

Entry 16:
Below is a relaxed Sr2Rh crystal, with properties calculated at the GGA-PBEsol level.

## Properties
Space group = No. 58
V = 34.28 A^3/atom
Raw total energy = -3.9906 eV/atom
ΔE_f = -0.051 eV/atom
Crystal system = orthorhombic

The structure in POSCAR format:
```
Sr2Rh
1.0
4.352 0.000 0.000
0.000 6.794 0.000
0.000 0.000 6.958
Sr Rh
4 2
direct
0.000 0.270 0.670
0.000 0.730 0.330
0.500 0.770 0.830
0.500 0.230 0.170
0.000 0.000 0.000
0.500 0.500 0.500
```

---

Entry 17:
Below is a relaxed Sr2Rh crystal, with properties calculated at the GGA-PBEsol level.

## Properties
Space group = No. 205
V = 31.93 A^3/atom
Raw total energy = -3.9982 eV/atom
ΔE_f = -0.059 eV/atom
Crystal system = cubic

The structure in POSCAR format:
```
Sr2Rh
1.0
7.263 0.000 0.000
0.000 7.263 0.000
0.000 0.000 7.263
Rh Sr
4 8
direct
0.500 0.000 0.500
0.000 0.500 0.500
0.000 0.000 0.000
0.500 0.500 0.000
0.165 0.665 0.835
0.835 0.335 0.165
0.665 0.835 0.165
0.335 0.165 0.835
0.835 0.165 0.665
0.165 0.835 0.335
0.335 0.335 0.335
0.665 0.665 0.665
```

---

Entry 18:
Below is a relaxed SrRh crystal, with properties calculated at the GGA-PBEsol level.

## Properties
Space group = No. 12
V = 31.55 A^3/atom
Raw total energy = -5.1178 eV/atom
ΔE_f = -0.128 eV/atom
Crystal system = monoclinic

The structure in POSCAR format:
```
SrRh
1.0
-0.887 2.385 -3.518
-1.262 -1.789 -3.750
-8.234 0.742 -0.021
Sr Rh
2 2
direct
0.078 0.078 0.753
0.922 0.922 0.247
0.341 0.341 0.000
0.659 0.659 0.000
```

---

Entry 19:
Below is a relaxed Sr2Rh crystal, with properties calculated at the GGA-PBEsol level.

## Properties
Space group = No. 225
V = 31.06 A^3/atom
Raw total energy = -3.9894 eV/atom
ΔE_f = -0.050 eV/atom
Crystal system = cubic

The structure in POSCAR format:
```
Sr2Rh
1.0
-2.154 -4.539 -0.808
2.524 -4.260 1.175
-1.502 -2.842 3.945
Sr Rh
2 1
direct
0.750 0.750 0.750
0.250 0.250 0.250
0.000 0.000 0.000
```

---

Entry 20:
Below is a relaxed SrRh crystal, with properties calculated at the GGA-PBEsol level.

## Properties
Space group = No. 12
V = 24.40 A^3/atom
Raw total energy = -5.0759 eV/atom
ΔE_f = -0.087 eV/atom
Crystal system = monoclinic

The structure in POSCAR format:
```
SrRh
1.0
4.529 0.000 0.000
-2.264 5.349 -0.025
0.000 -0.838 6.048
Rh Sr
3 3
direct
0.000 0.000 0.500
0.423 0.846 0.318
0.577 0.154 0.682
0.716 0.433 0.279
0.000 0.000 0.000
0.284 0.567 0.721
```